Entry from Alexandria via LeMat-Bulk: crystalline YZrSi2 at its relaxed geometry (PBEsol).

Output
The value obtained for the density of states at the Fermi level is 3.00 states/eV/f.u. For the total energy, the calculation gives -7.169 eV/atom. As for the excess energy over the best structure of this formula in the dataset: 231.2 kJ/mol of formula units. The space-group type is No. 35.

POSCAR file:
```
YZrSi2
1.0
-1.430 1.005 -2.753
-2.870 -0.852 1.295
-0.724 6.751 2.840
Si Y Zr
2 1 1
direct
0.000 0.000 0.959
0.500 0.500 0.810
0.000 0.000 0.547
0.500 0.500 0.184
```